The following is a PBE calculation of BiRhS2 after structural relaxation, from Alexandria via LeMat-Bulk.

Properties
final energy	-5.16	eV/atom

Lattice parameters (Å, degrees): 6.167 3.569 8.122 102.71 86.61 73.16
Fractional coordinates of all 8 atoms:
S1 0.667 0.475 0.749
S2 0.963 0.960 0.016
Bi1 0.441 0.199 0.970
Rh1 0.055 0.314 0.817
S3 0.153 0.671 0.629
Rh2 0.536 0.407 0.483
S4 0.418 0.881 0.312
Bi2 0.897 0.663 0.357


The following is a PBE calculation of BiRhS2 after structural relaxation, from Alexandria via LeMat-Bulk.

Properties
final energy	-5.00	eV/atom

Lattice parameters (Å, degrees): 6.942 6.488 6.488 55.42 108.07 71.93
Fractional coordinates of all 8 atoms:
S1 0.622 0.476 0.290
S2 0.878 0.790 0.976
Rh1 0.250 0.719 0.219
Bi1 0.750 0.940 0.440
S3 0.378 0.524 0.710
Rh2 0.750 0.281 0.781
S4 0.122 0.210 0.024
Bi2 0.250 0.060 0.560